Arrangement w

This record from the Alexandria database describes a relaxed structure of AlNi2P. The functional is PBE.

Cell: 4.272 4.272 4.272 Å, 129.75 126.14 76.75°
Sites, in units of the cell vectors:
Al 0.000 0.000 0.000
Ni 0.268 0.768 0.500
Ni 0.732 0.232 0.500
P 0.500 0.500 0.000

Properties
mass density	6.191	g cm⁻³
magnetization	0.00	μB/cell
space group	Immm (71)

Arrangement x

This record from the Alexandria database describes a relaxed structure of AlNi2P. The functional is PBE.

Cell: 7.473 7.473 7.473 Å, 21.95 21.95 21.95°
Sites, in units of the cell vectors:
Al 0.000 0.000 0.000
Ni 0.505 0.505 0.505
Ni 0.748 0.748 0.748
P 0.241 0.241 0.241

Properties
mass density	5.697	g cm⁻³
magnetization	0.00	μB/cell
space group	R3m (160)

Arrangement y

This record from the Alexandria database describes a relaxed structure of AlNi2P. The functional is PBE.

Cell: 8.077 8.077 8.077 Å, 153.32 153.32 38.09°
Sites, in units of the cell vectors:
Al 0.000 0.000 0.000
Al 0.750 0.250 0.500
Ni 0.156 0.625 0.031
Ni 0.375 0.406 0.531
Ni 0.594 0.125 0.969
Ni 0.875 0.844 0.469
P 0.250 0.750 0.500
P 0.500 0.500 0.000

Properties
mass density	5.491	g cm⁻³
magnetization	0.00	μB/cell
space group	I-42d (122)

Arrangement z

This record from the Alexandria database describes a relaxed structure of AlNi2P. The functional is PBE.

Cell: 3.725 3.725 3.361 Å, 90.15 90.15 89.98°
Sites, in units of the cell vectors:
Al 0.000 0.000 0.000
Ni 0.000 0.500 0.500
Ni 0.500 0.000 0.500
P 0.500 0.500 0.000

Properties
mass density	6.243	g cm⁻³
magnetization	0.00	μB/cell
space group	C2/m (12)

Stability, highest: arrangement z

Arrangement w

This record from the Alexandria database describes a relaxed structure of AlNi2P. The functional is PBE.

Cell: 2.955 2.966 5.403 Å, 90.00 90.00 90.00°
Sites, in units of the cell vectors:
Al 0.000 0.000 0.000
Ni 0.500 0.500 0.259
Ni 0.500 0.500 0.741
P 0.000 0.000 0.500

Properties
mass density	6.149	g cm⁻³
magnetization	0.00	μB/cell
space group	Pmmm (47)

Arrangement x

This record from the Alexandria database describes a relaxed structure of AlNi2P. The functional is PBE.

Cell: 4.585 4.585 4.585 Å, 135.27 135.27 65.11°
Sites, in units of the cell vectors:
Al 0.000 0.000 0.000
Ni 0.250 0.750 0.500
Ni 0.500 0.500 0.000
P 0.750 0.250 0.500

Properties
mass density	6.189	g cm⁻³
magnetization	0.00	μB/cell
space group	I-4m2 (119)

Stability, highest: arrangement w

Arrangement w

This record from the Alexandria database describes a relaxed structure of Al2Ni2P. The functional is PBE.

Cell: 6.911 6.911 2.726 Å, 90.00 90.00 90.00°
Sites, in units of the cell vectors:
Al 0.156 0.344 0.000
Al 0.344 0.844 0.000
Al 0.656 0.156 0.000
Al 0.844 0.656 0.000
Ni 0.140 0.640 0.500
Ni 0.360 0.140 0.500
Ni 0.640 0.860 0.500
Ni 0.860 0.360 0.500
P 0.000 0.000 0.500
P 0.500 0.500 0.500

Properties
mass density	5.161	g cm⁻³
magnetization	0.00	μB/cell
space group	P4/mbm (127)

Arrangement x

This record from the Alexandria database describes a relaxed structure of Al2Ni2P. The functional is PBE.

Cell: 6.727 6.727 6.727 Å, 151.09 151.09 41.35°
Sites, in units of the cell vectors:
Al 0.106 0.106 0.000
Al 0.894 0.894 0.000
Ni 0.250 0.750 0.500
Ni 0.750 0.250 0.500
P 0.500 0.500 0.000

Properties
mass density	4.732	g cm⁻³
magnetization	0.00	μB/cell
space group	I4/mmm (139)

Stability, highest: arrangement w

Arrangement w

This record from the Alexandria database describes a relaxed structure of Al3NiP2. The functional is PBE.

Cell: 6.059 6.059 3.368 Å, 90.00 90.00 120.00°
Sites, in units of the cell vectors:
Al 0.000 0.500 0.000
Al 0.500 0.000 0.000
Al 0.500 0.500 0.000
Ni 0.000 0.000 0.500
P 0.333 0.667 0.500
P 0.667 0.333 0.500

Properties
mass density	3.126	g cm⁻³
magnetization	0.34	μB/cell
space group	P6/mmm (191)

Arrangement x

This record from the Alexandria database describes a relaxed structure of Al3NiP2. The functional is PBE.

Cell: 8.549 8.549 4.659 Å, 90.00 90.00 120.00°
Sites, in units of the cell vectors:
Al 0.000 0.340 0.000
Al 0.000 0.500 0.500
Al 0.000 0.660 0.000
Al 0.340 0.000 0.000
Al 0.340 0.340 0.000
Al 0.500 0.000 0.500
Al 0.500 0.500 0.500
Al 0.660 0.000 0.000
Al 0.660 0.660 0.000
Ni 0.000 0.000 0.500
Ni 0.333 0.667 0.000
Ni 0.667 0.333 0.000
P 0.162 0.325 0.500
P 0.162 0.838 0.500
P 0.325 0.162 0.500
P 0.675 0.838 0.500
P 0.838 0.162 0.500
P 0.838 0.675 0.500

Properties
mass density	3.406	g cm⁻³
magnetization	0.00	μB/cell
space group	P6/mmm (191)

Stability, highest: arrangement x

Arrangement w

This record from the Alexandria database describes a relaxed structure of AlNi3P. The functional is PBE.

Cell: 4.130 4.130 4.130 Å, 90.00 90.00 90.00°
Sites, in units of the cell vectors:
Al 0.000 0.000 0.000
Ni 0.000 0.500 0.500
Ni 0.500 0.000 0.500
Ni 0.500 0.500 0.000
P 0.500 0.500 0.500

Properties
mass density	5.518	g cm⁻³
magnetization	0.00	μB/cell
space group	Pm-3m (221)

Arrangement x

This record from the Alexandria database describes a relaxed structure of AlNi3P. The functional is PBE.

Cell: 4.256 4.256 4.256 Å, 90.00 90.00 90.00°
Sites, in units of the cell vectors:
Al 0.000 0.000 0.000
Ni 0.000 0.000 0.500
Ni 0.000 0.500 0.000
Ni 0.500 0.000 0.000
P 0.500 0.500 0.500

Properties
mass density	5.042	g cm⁻³
magnetization	0.00	μB/cell
space group	Pm-3m (221)

Stability, highest: arrangement w

Arrangement w

This record from the Alexandria database describes a relaxed structure of Pa3AlNi4. The functional is PBE.

Cell: 7.373 7.373 4.882 Å, 94.27 94.27 32.71°
Sites, in units of the cell vectors:
Pa 0.000 0.000 0.000
Pa 0.285 0.285 0.710
Pa 0.715 0.715 0.290
Al 0.500 0.500 0.500
Ni 0.095 0.095 0.495
Ni 0.360 0.360 0.184
Ni 0.640 0.640 0.816
Ni 0.905 0.905 0.505

Properties
mass density	11.087	g cm⁻³
magnetization	0.00	μB/cell
space group	C2/m (12)

Arrangement x

This record from the Alexandria database describes a relaxed structure of Pa3AlNi4. The functional is PBE.

Cell: 7.908 7.908 7.908 Å, 154.47 135.37 52.12°
Sites, in units of the cell vectors:
Pa 0.000 0.000 0.000
Pa 0.306 0.806 0.500
Pa 0.694 0.194 0.500
Al 0.500 0.500 0.000
Ni 0.075 0.372 0.703
Ni 0.331 0.628 0.703
Ni 0.669 0.372 0.297
Ni 0.925 0.628 0.297

Properties
mass density	10.635	g cm⁻³
magnetization	0.00	μB/cell
space group	Immm (71)

Stability, highest: arrangement w